Crystalline LaNi2Ge2 at its relaxed geometry, computed with PBE. Values from VASP.

## Properties
E_tot   -53.898 eV for the cell shown
Space-group type   P4/mbm (127)

Quantum ESPRESSO input file:
```
&SYSTEM
  ibrav = 0, nat = 10, ntyp = 3
/
ATOMIC_SPECIES
Ni 58.69 Ni.upf
Ge 72.64 Ge.upf
La 138.91 La.upf
CELL_PARAMETERS angstrom
7.518 0.000 0.000
0.000 7.518 0.000
0.000 0.000 3.033
ATOMIC_POSITIONS crystal
Ni 0.383 0.883 0.000
Ni 0.883 0.617 0.000
Ni 0.617 0.117 0.000
Ni 0.117 0.383 0.000
Ge 0.154 0.654 0.500
Ge 0.654 0.846 0.500
Ge 0.846 0.346 0.500
Ge 0.346 0.154 0.500
La 0.000 0.000 0.000
La 0.500 0.500 0.000
```

=====

Crystalline La3NiGe at its relaxed geometry, computed with PBE. Values from VASP.

## Properties
Energy above the lowest structure with this stoichiometry   0 meV per atom
E_tot   -54.775 eV for the cell shown
Space-group type   Pmmn (59)

Quantum ESPRESSO input file:
```
&SYSTEM
  ibrav = 0, nat = 10, ntyp = 3
/
ATOMIC_SPECIES
La 138.91 La.upf
Ni 58.69 Ni.upf
Ge 72.64 Ge.upf
CELL_PARAMETERS angstrom
4.195 0.000 0.001
-0.001 6.843 0.004
-0.001 -0.004 9.621
ATOMIC_POSITIONS crystal
La 0.250 0.736 0.553
La 0.250 0.188 0.750
La 0.250 0.736 0.947
La 0.750 0.264 0.447
La 0.750 0.264 0.053
La 0.750 0.812 0.250
Ni 0.250 0.110 0.250
Ni 0.750 0.890 0.750
Ge 0.750 0.522 0.750
Ge 0.250 0.478 0.250
```

=====

Crystalline La3Ni2Ge3 at its relaxed geometry, computed with PBE. Values from VASP.

## Properties
E_tot   -92.031 eV for the cell shown
Space-group type   Cmcm (63)

Quantum ESPRESSO input file:
```
&SYSTEM
  ibrav = 0, nat = 16, ntyp = 3
/
ATOMIC_SPECIES
La 138.91 La.upf
Ni 58.69 Ni.upf
Ge 72.64 Ge.upf
CELL_PARAMETERS angstrom
-2.323 -1.727 -3.177
0.169 -3.619 4.750
-12.147 6.473 5.362
ATOMIC_POSITIONS crystal
La 0.919 0.837 0.394
La 0.081 0.163 0.894
La 0.919 0.837 0.106
La 0.081 0.163 0.606
La 0.633 0.266 0.250
La 0.367 0.734 0.750
Ni 0.789 0.578 0.900
Ni 0.211 0.422 0.400
Ni 0.789 0.578 0.600
Ni 0.211 0.422 0.100
Ge 0.645 0.290 0.461
Ge 0.355 0.710 0.961
Ge 0.645 0.290 0.039
Ge 0.355 0.710 0.539
Ge 0.330 0.661 0.250
Ge 0.670 0.339 0.750
```

=====

Crystalline La2Ni2Ge at its relaxed geometry, computed with PBE. Values from VASP.

## Properties
E_tot   -56.996 eV for the cell shown
Space-group type   P4/mbm (127)

Quantum ESPRESSO input file:
```
&SYSTEM
  ibrav = 0, nat = 10, ntyp = 3
/
ATOMIC_SPECIES
Ni 58.69 Ni.upf
Ge 72.64 Ge.upf
La 138.91 La.upf
CELL_PARAMETERS angstrom
-2.294 6.108 3.329
-4.786 1.158 -5.423
-2.712 -2.081 1.949
ATOMIC_POSITIONS crystal
Ni 0.380 0.880 0.000
Ni 0.880 0.620 0.000
Ni 0.620 0.120 0.000
Ni 0.120 0.380 0.000
Ge 0.000 0.000 0.000
Ge 0.500 0.500 0.000
La 0.185 0.685 0.500
La 0.685 0.815 0.500
La 0.815 0.315 0.500
La 0.315 0.185 0.500
```

=====

Crystalline La5Ni2Ge at its relaxed geometry, computed with PBE. Values from VASP.

## Properties
E_tot   -88.072 eV for the cell shown
Space-group type   I4/mcm (140)

Quantum ESPRESSO input file:
```
&SYSTEM
  ibrav = 0, nat = 16, ntyp = 3
/
ATOMIC_SPECIES
La 138.91 La.upf
Ni 58.69 Ni.upf
Ge 72.64 Ge.upf
CELL_PARAMETERS angstrom
7.232 0.000 -3.414
-1.612 7.050 -3.414
-0.297 -0.373 8.738
ATOMIC_POSITIONS crystal
La 0.521 0.696 0.717
La 0.804 0.979 0.283
La 0.000 0.000 0.000
La 0.500 0.500 0.000
La 0.196 0.021 0.717
La 0.696 0.196 0.717
La 0.021 0.521 0.717
La 0.304 0.804 0.283
La 0.979 0.479 0.283
La 0.479 0.304 0.283
Ni 0.122 0.378 0.000
Ni 0.622 0.122 0.000
Ni 0.378 0.878 0.000
Ni 0.878 0.622 0.000
Ge 0.750 0.750 0.500
Ge 0.250 0.250 0.500
```

=====

Crystalline La3Ni7Ge4 at its relaxed geometry, computed with PBE. Values from VASP.

## Properties
E_tot   -81.198 eV for the cell shown
Space-group type   C2/m (12)

Quantum ESPRESSO input file:
```
&SYSTEM
  ibrav = 0, nat = 14, ntyp = 3
/
ATOMIC_SPECIES
La 138.91 La.upf
Ni 58.69 Ni.upf
Ge 72.64 Ge.upf
CELL_PARAMETERS angstrom
-2.452 3.240 -0.847
-7.508 -3.137 -0.429
-3.769 1.536 6.623
ATOMIC_POSITIONS crystal
La 0.317 0.183 0.184
La 0.683 0.817 0.816
La 0.000 0.500 0.500
Ni 0.328 0.794 0.550
Ni 0.502 0.218 0.777
Ni 0.879 0.348 0.895
Ni 0.672 0.206 0.450
Ni 0.121 0.652 0.105
Ni 0.000 0.000 0.000
Ni 0.498 0.782 0.223
Ge 0.671 0.483 0.175
Ge 0.329 0.517 0.825
Ge 0.880 0.897 0.342
Ge 0.120 0.103 0.658
```

=====

M_tot values, unit Bohr magnetons per cell, following the record order: 0.00 0.00 0.00 0.00 0.00 0.00.
Calculated volume values, unit Å³/f.u., following the record order: 86 138 177 106 214 235.